Entry 1:
A plane-wave DFT calculation with PBE was carried out for a relaxed structure of Pu2ClO7.

abc: 7.3772 7.3772 4.1499
angles: 91.59 91.59 51.26
Positions (direct):
Pu 0.1560 0.1560 0.4865
Pu 0.8440 0.8440 0.5135
Cl 0.5000 0.5000 0.0000
O 0.0000 0.0000 0.5000
O 0.1280 0.5630 0.5184
O 0.1576 0.1576 0.9865
O 0.4370 0.8720 0.4816
O 0.5630 0.1280 0.5184
O 0.8424 0.8424 0.0135
O 0.8720 0.4370 0.4816

Its density is 5.99 Mg/m³. Its raw total energy is -8.247 eV per atom. The value obtained for the density of states at the Fermi level is 9.2 states/eV/f.u. For the formation energy (no corrections), the calculation gives -1.725 eV/atom.

---

Entry 2:
A plane-wave DFT calculation with PBE was carried out for a relaxed structure of InW.

abc: 10.0194 10.0194 3.2960
angles: 90.00 90.00 90.00
Positions (direct):
In 0.0412 0.8007 0.0000
In 0.1993 0.0412 0.0000
In 0.2086 0.3178 0.5000
In 0.3178 0.7914 0.5000
In 0.6822 0.2086 0.5000
In 0.7914 0.6822 0.5000
In 0.8007 0.9588 0.0000
In 0.9588 0.1993 0.0000
W 0.1076 0.5795 0.5000
W 0.3100 0.5403 0.0000
W 0.4205 0.1076 0.5000
W 0.4597 0.3100 0.0000
W 0.5403 0.6900 0.0000
W 0.5795 0.8924 0.5000
W 0.6900 0.4597 0.0000
W 0.8924 0.4205 0.5000

Its density is 11.99 Mg/m³. Its raw total energy is -7.166 eV per atom. The value obtained for the density of states at the Fermi level is 1.7 states/eV/f.u. Its energy above the most stable polymorph in this dataset is 278 meV/atom. Its formation energy is 1.360 eV/f.u.

---

Entry 3:
A plane-wave DFT calculation with PBE was carried out for a relaxed structure of VFeSi.

abc: 3.9403 3.9403 2.6754
angles: 90.00 90.00 120.00
Positions (direct):
V 0.0000 0.0000 0.0000
Fe 0.3333 0.6667 0.5184
Si 0.6667 0.3333 0.4972

Its density is 6.23 Mg/m³. Its raw total energy is -8.057 eV per atom. The value obtained for the density of states at the Fermi level is 2.3 states/eV/f.u. For the formation energy (no corrections), the calculation gives -0.389 eV/atom.

---

Entry 4:
A plane-wave DFT calculation with PBE was carried out for a relaxed structure of Tb2CeTmBi5.

abc: 5.5593 5.5593 11.7885
angles: 90.00 90.00 90.00
Positions (direct):
Tb 0.0000 0.0000 0.2275
Tb 0.0000 0.0000 0.7725
Ce 0.5000 0.5000 0.0000
Tm 0.5000 0.5000 0.5000
Bi 0.0000 0.0000 0.5000
Bi 0.0000 0.5000 0.0000
Bi 0.5000 0.0000 0.0000
Bi 0.5000 0.5000 0.2562
Bi 0.5000 0.5000 0.7438

Its density is 7.62 Mg/m³. Its raw total energy is -4.256 eV per atom. The value obtained for the density of states at the Fermi level is 8.4 states/eV/f.u. Its formation energy is 0.768 eV/f.u.

---

Entry 5:
A plane-wave DFT calculation with PBE was carried out for a relaxed structure of La5Pm2Ho3.

abc: 9.2704 9.2704 10.2041
angles: 108.68 108.68 107.09
Positions (direct):
La 0.0173 0.9827 0.7500
La 0.1216 0.3810 0.7504
La 0.2250 0.7750 0.7500
La 0.3810 0.1216 0.2504
La 0.4761 0.5239 0.2500
La 0.5239 0.4761 0.7500
La 0.6190 0.8784 0.7496
La 0.7750 0.2250 0.2500
La 0.8784 0.6190 0.2496
La 0.9827 0.0173 0.2500
Pm 0.0273 0.2853 0.0616
Pm 0.2853 0.0273 0.5616
Pm 0.7147 0.9727 0.4384
Pm 0.9727 0.7147 0.9384
Ho 0.2236 0.4761 0.4436
Ho 0.2692 0.7308 0.2500
Ho 0.4761 0.2236 0.9436
Ho 0.5239 0.7764 0.0564
Ho 0.7308 0.2692 0.7500
Ho 0.7764 0.5239 0.5564

Its density is 6.96 Mg/m³. Its raw total energy is -4.627 eV per atom. The value obtained for the density of states at the Fermi level is 17.4 states/eV/f.u. Its formation energy is 1.600 eV/f.u.

---

Entry 6:
A plane-wave DFT calculation with PBE was carried out for a relaxed structure of VGeH.

abc: 3.4888 3.4888 5.9501
angles: 90.00 90.00 90.00
Positions (direct):
V 0.2500 0.7500 0.0000
V 0.7500 0.2500 0.0000
Ge 0.2500 0.2500 0.3602
Ge 0.7500 0.7500 0.6398
H 0.2500 0.2500 0.8762
H 0.7500 0.7500 0.1238

Its density is 5.71 Mg/m³. Its raw total energy is -5.563 eV per atom. The value obtained for the density of states at the Fermi level is 1.8 states/eV/f.u. Its energy above the most stable polymorph in this dataset is 313 meV/atom.

---

Entry 7:
A plane-wave DFT calculation with PBE was carried out for a relaxed structure of Sn4Sb3Pd.

abc: 8.8986 8.1112 7.7761
angles: 90.00 90.00 90.00
Positions (direct):
Sn 0.0000 0.1366 0.0000
Sn 0.0000 0.8497 0.5427
Sn 0.2196 0.6769 0.0118
Sn 0.2804 0.3231 0.5118
Sn 0.5000 0.1503 0.0427
Sn 0.5000 0.8634 0.5000
Sn 0.7196 0.3231 0.5118
Sn 0.7804 0.6769 0.0118
Sb 0.0000 0.1775 0.3792
Sb 0.2470 0.6614 0.3885
Sb 0.2530 0.3386 0.8885
Sb 0.5000 0.8225 0.8792
Sb 0.7470 0.3386 0.8885
Sb 0.7530 0.6614 0.3885
Pd 0.0000 0.8393 0.8767
Pd 0.5000 0.1607 0.3767

Its density is 5.60 Mg/m³. Its raw total energy is -4.207 eV per atom. The value obtained for the density of states at the Fermi level is 3.4 states/eV/f.u. For the formation energy (no corrections), the calculation gives -0.011 eV/atom.

---

Entry 8:
A plane-wave DFT calculation with PBE was carried out for a relaxed structure of FeHg2Pb.

abc: 10.2116 10.2116 10.2116
angles: 18.30 18.30 18.30
Positions (direct):
Fe 0.0000 0.0000 0.0000
Hg 0.2647 0.2647 0.2647
Hg 0.7353 0.7353 0.7353
Pb 0.5000 0.5000 0.5000

Its density is 12.03 Mg/m³. Its raw total energy is -2.827 eV per atom. The value obtained for the density of states at the Fermi level is 2.1 states/eV/f.u. Its formation energy is 1.466 eV/f.u.

---

Entry 9:
A plane-wave DFT calculation with PBE was carried out for a relaxed structure of RbErSn2I8.

abc: 7.3172 7.7823 9.7357
angles: 89.86 89.83 88.64
Positions (direct):
Rb 0.0000 0.0000 0.0000
Er 0.0000 0.0000 0.5000
Sn 0.4995 0.4999 0.2515
Sn 0.5005 0.5001 0.7485
I 0.2347 0.3228 0.4998
I 0.2505 0.8443 0.7146
I 0.2514 0.8452 0.2850
I 0.2701 0.3779 0.0012
I 0.7299 0.6221 0.9988
I 0.7486 0.1548 0.7150
I 0.7495 0.1557 0.2854
I 0.7653 0.6772 0.5002

Its density is 4.51 Mg/m³. Its raw total energy is -3.071 eV per atom. The value obtained for the density of states at the Fermi level is 0.0 states/eV/f.u. For the formation energy (no corrections), the calculation gives -0.909 eV/atom.

---

Entry 10:
A plane-wave DFT calculation with PBE was carried out for a relaxed structure of Nd4AlZn3.

abc: 3.6835 4.5736 12.1553
angles: 90.00 90.00 90.00
Positions (direct):
Nd 0.0000 0.0000 0.0000
Nd 0.0000 0.5000 0.3027
Nd 0.5000 0.0000 0.4946
Nd 0.5000 0.5000 0.8071
Al 0.0000 0.0000 0.7130
Zn 0.0000 0.5000 0.5883
Zn 0.5000 0.0000 0.2148
Zn 0.5000 0.5000 0.0885

Its density is 6.49 Mg/m³. Its raw total energy is -3.615 eV per atom. The value obtained for the density of states at the Fermi level is 6.2 states/eV/f.u. Its energy above the most stable polymorph in this dataset is 31 meV/atom. Its formation energy is -2.282 eV/f.u.

---

Entry 11:
A plane-wave DFT calculation with PBE was carried out for a relaxed structure of SrTaFe2.

abc: 6.9974 6.9974 6.9974
angles: 32.52 32.52 32.52
Positions (direct):
Sr 0.0000 0.0000 0.0000
Ta 0.1813 0.1813 0.1813
Fe 0.4545 0.4545 0.4545
Fe 0.7890 0.7890 0.7890

Its density is 7.17 Mg/m³. Its raw total energy is -7.216 eV per atom. The value obtained for the density of states at the Fermi level is 1.1 states/eV/f.u. Its energy above the most stable polymorph in this dataset is 72 meV/atom. Its formation energy is 1.595 eV/f.u.

---

Entry 12:
A plane-wave DFT calculation with PBE was carried out for a relaxed structure of Al2AgAu.

abc: 3.4385 3.4851 5.6706
angles: 90.00 90.00 90.00
Positions (direct):
Al 0.0000 0.0000 0.2461
Al 0.0000 0.0000 0.7539
Ag 0.5000 0.5000 0.5000
Au 0.5000 0.5000 0.0000

Its density is 8.77 Mg/m³. Its raw total energy is -3.536 eV per atom. The value obtained for the density of states at the Fermi level is 1.2 states/eV/f.u. Its formation energy is -0.531 eV/f.u.